# 1
Below is crystalline NaSr2Pd at its relaxed geometry, with properties calculated at the GGA-PBE level.

Unit cell a=9.192 b=9.192 c=7.469 alpha=52.02 beta=52.02 gamma=90.00
Positions (direct):
Sr1 0.375 0.300 0.750
Sr2 0.700 0.125 0.250
Sr3 0.875 0.950 0.750
Sr4 0.050 0.625 0.250
Pd1 0.750 0.250 0.500
Pd2 0.000 0.000 0.000
Na1 0.500 0.500 0.000
Na2 0.250 0.750 0.500

Properties
Symmetry: I-42d, No. 122
Total DFT energy (no corrections): -2.58 eV per atom
Magnetization: 0.000 μB per formula unit
Energy of formation: -0.11 eV/atom

---

# 2
Below is crystalline Ce4SmTl at its relaxed geometry, with properties calculated at the GGA-PBE level.

Unit cell a=6.265 b=6.265 c=6.265 alpha=60.00 beta=60.00 gamma=60.00
Positions (direct):
Ce1 0.614 0.614 0.614
Ce2 0.614 0.157 0.614
Ce3 0.614 0.614 0.157
Ce4 0.157 0.614 0.614
Sm1 0.000 0.000 0.000
Tl1 0.250 0.250 0.250

Properties
Symmetry: F-43m, No. 216
Total DFT energy (no corrections): -4.99 eV per atom
Magnetization: 2.603 μB per formula unit
Energy of formation: 0.15 eV/atom

---

# 3
Below is crystalline LiFe2Si at its relaxed geometry, with properties calculated at the GGA-PBE level.

Unit cell a=2.542 b=2.542 c=7.533 alpha=90.00 beta=90.00 gamma=89.92
Positions (direct):
Fe1 0.000 0.000 0.971
Fe2 0.000 0.000 0.529
Li1 0.500 0.500 0.250
Si1 0.500 0.500 0.750

Properties
Symmetry: P4/mmm, No. 123
Total DFT energy (no corrections): -6.05 eV per atom
Magnetization: 3.970 μB per formula unit

---

# 4
Below is crystalline Fe2CoRu at its relaxed geometry, with properties calculated at the GGA-PBE level.

Unit cell a=4.425 b=4.425 c=4.430 alpha=80.51 beta=80.51 gamma=33.94
Positions (direct):
Co1 0.250 0.250 0.245
Ru1 0.504 0.504 0.498
Fe1 0.996 0.996 0.006
Fe2 0.750 0.750 0.751

Properties
Symmetry: Cm, No. 8
Total DFT energy (no corrections): -8.19 eV per atom
Magnetization: 5.150 μB per formula unit
Energy of formation: 0.14 eV/atom

---

# 5
Below is crystalline MgFe2RuC at its relaxed geometry, with properties calculated at the GGA-PBE level.

Unit cell a=3.859 b=3.859 c=4.063 alpha=90.00 beta=90.00 gamma=90.00
Positions (direct):
Mg1 0.500 0.500 0.500
Ru1 0.000 0.000 0.500
Fe1 0.500 0.000 0.000
Fe2 0.000 0.500 0.000
C1 0.000 0.000 0.000

Properties
Symmetry: P4/mmm, No. 123
Total DFT energy (no corrections): -7.40 eV per atom
Magnetization: 3.951 μB per formula unit
Energy of formation: 0.00 eV/atom

---

# 6
Below is crystalline CaSe at its relaxed geometry, with properties calculated at the GGA-PBE level.

Unit cell a=3.704 b=3.704 c=3.695 alpha=90.00 beta=90.00 gamma=100.39
Positions (direct):
Ca1 0.000 0.000 0.000
Se1 0.500 0.500 0.500

Properties
Symmetry: Cmmm, No. 65
Total DFT energy (no corrections): -4.43 eV per atom
Magnetization: 0.000 μB per formula unit

---

# 7
Below is crystalline Li2ErAlTe4 at its relaxed geometry, with properties calculated at the GGA-PBE level.

Unit cell a=8.457 b=8.457 c=8.611 alpha=120.59 beta=120.59 gamma=90.18
Positions (direct):
Te1 0.740 0.245 0.492
Te2 0.254 0.245 0.476
Te3 0.260 0.755 0.508
Te4 0.745 0.240 0.992
Te5 0.745 0.754 0.976
Te6 0.255 0.760 0.008
Te7 0.746 0.755 0.524
Te8 0.255 0.246 0.024
Li1 0.500 0.000 0.500
Li2 0.500 0.000 0.000
Li3 0.500 0.500 0.000
Li4 0.000 0.000 0.500
Al1 0.000 0.000 0.000
Al2 0.500 0.500 0.500
Er1 0.000 0.500 0.000
Er2 0.000 0.500 0.500

Properties
Symmetry: Imma, No. 74
Total DFT energy (no corrections): -3.99 eV per atom
Magnetization: 0.000 μB per formula unit

---

# 8
Below is crystalline LaYAg2 at its relaxed geometry, with properties calculated at the GGA-PBE level.

Unit cell a=6.357 b=6.357 c=6.357 alpha=146.09 beta=133.15 gamma=59.08
Positions (direct):
Y1 0.231 0.731 0.500
La1 0.516 0.516 0.000
Ag1 0.978 0.978 0.000
Ag2 0.776 0.276 0.500

Properties
Symmetry: Imm2, No. 44
Total DFT energy (no corrections): -4.42 eV per atom
Magnetization: 0.006 μB per formula unit
Energy of formation: -0.15 eV/atom

---

# 9
Below is crystalline Ta2AsRu at its relaxed geometry, with properties calculated at the GGA-PBE level.

Unit cell a=4.545 b=4.545 c=3.178 alpha=90.00 beta=90.00 gamma=90.00
Positions (direct):
Ta1 0.500 0.500 0.000
Ta2 0.000 0.000 0.000
As1 0.500 0.000 0.500
Ru1 0.000 0.500 0.500

Properties
Symmetry: P4/mmm, No. 123
Total DFT energy (no corrections): -9.45 eV per atom
Magnetization: 0.000 μB per formula unit
Energy of formation: -0.05 eV/atom

---

# 10
Below is crystalline NiP2AuCl at its relaxed geometry, with properties calculated at the GGA-PBE level.

Unit cell a=4.420 b=4.420 c=4.682 alpha=90.00 beta=90.00 gamma=90.00
Positions (direct):
Au1 0.500 0.500 0.500
Cl1 0.000 0.000 0.500
P1 0.500 0.000 0.000
P2 0.000 0.500 0.000
Ni1 0.000 0.000 0.000

Properties
Symmetry: P4/mmm, No. 123
Total DFT energy (no corrections): -3.77 eV per atom
Magnetization: 0.000 μB per formula unit